The following is a GGA-PBE calculation of a geometry-optimized CsRbZnAs structure, from Alexandria.

Cell lengths 4.4209, 5.6798, 12.8657 Å; angles 90.00, 90.24, 90.00 degrees
Closest atoms and distances in Å follow each position.
Positions (direct):
As1 0.3332 0.5000 0.7514  2 Zn 2.48
As2 0.3332 0.0000 0.2514  2 Zn 2.48
Cs1 0.8342 0.5000 0.3516  3 Zn 3.73-4.02, 4 As 3.82
Cs2 0.8342 0.0000 0.8516  3 Zn 3.73-4.02, 4 As 3.82
Zn1 0.8322 0.0000 0.1640  2 As 2.48
Zn2 0.8322 0.5000 0.6640  2 As 2.48
Rb1 0.3314 0.0000 0.5583  3 As 3.77-3.95, 4 Zn 3.85
Rb2 0.3314 0.5000 0.0583  3 As 3.77-3.95, 4 Zn 3.85

**DOS at the Fermi energy**: 3.33 states/eV/f.u.
**Formation energy from the elements**: -5.20 kcal/mol of atoms
**Crystal system**: monoclinic
**Distance to the lowest polymorph of the same formula**: 5.4 kJ per mole of atoms
**Space group**: Cm
**VASP energy**: -0.079 Ha/atom